Hf4Zn3Ga | PBE | relaxed

Space-group type: Pmm2
M_tot (Bohr magnetons per cell): 0.0
Formation enthalpy at 0 K (kJ per mole of atoms): -24.7

```
Hf4Zn3Ga
1.0
-0.450 -1.198 3.055
4.087 -0.133 0.550
-0.200 10.112 3.937
Zn Hf Ga
3 4 1
direct
0.500 0.000 0.930
0.000 0.500 0.569
0.000 0.000 0.432
0.000 0.500 0.832
0.000 0.000 0.168
0.500 0.000 0.666
0.500 0.500 0.335
0.500 0.500 0.069
```